A plane-wave DFT calculation with PBE was carried out for a relaxed structure of Pm4ZnPCl2.

```
Pm4ZnPCl2
1.0
-3.215 -2.032 1.510
-0.215 -4.107 -5.983
4.171 -5.842 1.019
Pm Cl P Zn
4 2 1 1
direct
0.000 0.265 0.251 Pm
0.500 0.275 0.734 Pm
0.500 0.725 0.266 Pm
0.000 0.735 0.749 Pm
0.000 0.000 0.000 Cl
0.500 0.000 0.500 Cl
0.000 0.500 0.500 P
0.500 0.500 0.000 Zn
```

Properties
Density of states at the Fermi level: 4.24 states/eV/cell
Uncorrected formation energy: -924 kJ/mol of formula units
Space group: P2/m (10)